This record from the Alexandria database describes a relaxed MgTc2IBr crystal. The functional is GGA-PBE.

Unit cell a=4.630 b=4.630 c=6.783 alpha=90.00 beta=90.00 gamma=90.00
Atoms (fractional coordinates):
Mg 0.000 0.000 0.000
Tc 0.000 0.500 0.500
Tc 0.500 0.000 0.500
I 0.500 0.500 0.000
Br 0.500 0.500 0.500

## Properties
* magnetization: 0.708 μB per atom
* uncorrected energy: -3.780 eV/atom
* formation energy (no corrections): 1.329 eV/atom

This record from the Alexandria database describes a relaxed BaAl3 crystal. The functional is GGA-PBE.

Unit cell a=4.683 b=4.683 c=4.683 alpha=90.00 beta=90.00 gamma=90.00
Atoms (fractional coordinates):
Ba 0.000 0.000 0.000
Al 0.000 0.500 0.500
Al 0.500 0.000 0.500
Al 0.500 0.500 0.000

## Properties
* magnetization: 0.000 μB per atom
* uncorrected energy: -3.106 eV/atom
* ΔH_f (0 K): 182 meV per atom